# Ni3Pd3O8

Crystalline Ni3Pd3O8 at its relaxed geometry (GGA+U, the Alexandria database). Values from VASP.

```
&SYSTEM
  ibrav = 0, nat = 14, ntyp = 3
/
ATOMIC_SPECIES
Ni 58.69 Ni.upf
Pd 106.42 Pd.upf
O 16.00 O.upf
CELL_PARAMETERS angstrom
3.042 1.756 5.019
-3.042 1.756 5.019
0.000 -3.513 5.019
ATOMIC_POSITIONS angstrom
Ni -1.521 -0.878 5.019
Ni -1.521 0.878 10.037
Ni 0.000 1.756 5.019
Pd 0.000 0.000 1.946
Pd 0.000 0.000 7.528
Pd 0.000 0.000 13.110
O 0.000 -1.572 6.223
O -1.361 0.786 6.223
O 0.000 0.000 4.032
O -1.361 -0.786 8.833
O 1.361 0.786 6.223
O 0.000 0.000 11.024
O 1.361 -0.786 8.833
O 0.000 1.572 8.833
```

Computed properties:
The space group is R-3m, No. 166. The calculated volume comes out at 11.49 Å³ per atom. The total magnetization comes out at 0.0 μB/f.u. The value obtained for the density of states at the Fermi level is 5.19 states/eV per cell. The electronic total energy is -5.016 eV per atom.